An optimized crystal structure of TbUSe4, computed with PBE.

abc: 6.962 6.972 6.968
angles: 90.00 93.25 90.00
Fractional positions:
1 Tb 0.000 0.000 0.000
2 Tb 0.000 0.500 0.500
3 U 0.500 0.000 0.500
4 U 0.500 0.500 0.000
5 Se 0.164 0.155 0.357
6 Se 0.164 0.345 0.857
7 Se 0.341 0.666 0.324
8 Se 0.341 0.834 0.824
9 Se 0.659 0.166 0.176
10 Se 0.659 0.334 0.676
11 Se 0.836 0.655 0.143
12 Se 0.836 0.845 0.643

## Properties
E_tot = -6.200 eV/atom
relative energy among the computed polymorphs = 0.151 eV per atom
formation energy (no corrections) = -118 kJ per mole of atoms